Compound: AcLaH2
Source: the Alexandria database
Functional: PBE
Structure: relaxed

## Properties
Final energy ... -17.3 eV per cell
Space group ... No. 166
Theoretical density ... 7808 kg/m3
Magnetization ... 0.0 μB per formula unit
Offset from the most stable computed form ... 83 meV/atom

a = 6.581 Å, b = 6.581 Å, c = 6.581 Å
α = 33.71°, β = 33.71°, γ = 33.71°
Sites, in units of the cell vectors:
Ac (0.000, 0.000, 0.000)
La (0.500, 0.500, 0.500)
H (0.243, 0.243, 0.243)
H (0.757, 0.757, 0.757)